[1]
The following is a DFT calculation (PBE-GGA) of crystalline TaZnNiW at its relaxed geometry.

Values from the calculation:
SG = F-43m
E_form = 361 meV/atom

a = 6.2453 Å, b = 6.2453 Å, c = 6.2453 Å
α = 90.00°, β = 90.00°, γ = 90.00°
Last column: nearest neighbours and their distance in Å.
Positions (direct):
1 Ta 0.0000 0.0000 0.0000  4 W 2.70, 4 Zn 2.70
2 Ta 0.0000 0.5000 0.5000  4 W 2.70, 4 Zn 2.70
3 Ta 0.5000 0.0000 0.5000  4 W 2.70, 4 Zn 2.70
4 Ta 0.5000 0.5000 0.0000  4 W 2.70, 4 Zn 2.70
5 Zn 0.2500 0.2500 0.2500  4 Ta 2.70, 4 Ni 2.70
6 Zn 0.2500 0.7500 0.7500  4 Ta 2.70, 4 Ni 2.70
7 Zn 0.7500 0.2500 0.7500  4 Ta 2.70, 4 Ni 2.70
8 Zn 0.7500 0.7500 0.2500  4 Ta 2.70, 4 Ni 2.70
9 Ni 0.0000 0.0000 0.5000  4 W 2.70, 4 Zn 2.70
10 Ni 0.0000 0.5000 0.0000  4 W 2.70, 4 Zn 2.70
11 Ni 0.5000 0.0000 0.0000  4 W 2.70, 4 Zn 2.70
12 Ni 0.5000 0.5000 0.5000  4 W 2.70, 4 Zn 2.70
13 W 0.2500 0.2500 0.7500  4 Ta 2.70, 4 Ni 2.70
14 W 0.2500 0.7500 0.2500  4 Ta 2.70, 4 Ni 2.70
15 W 0.7500 0.2500 0.2500  4 Ta 2.70, 4 Ni 2.70
16 W 0.7500 0.7500 0.7500  4 Ta 2.70, 4 Ni 2.70

=====

[2]
The following is a DFT calculation (PBE-GGA) of crystalline OsAuO3 at its relaxed geometry.

Values from the calculation:
SG = Fd-3m

a = 7.2166 Å, b = 7.2166 Å, c = 7.2166 Å
α = 60.00°, β = 60.00°, γ = 60.00°
Last column: nearest neighbours and their distance in Å.
Positions (direct):
1 Os 0.0000 0.0000 0.0000  6 O 1.94
2 Os 0.0000 0.0000 0.5000  6 O 1.94
3 Os 0.0000 0.5000 0.0000  6 O 1.94
4 Os 0.5000 0.0000 0.0000  6 O 1.94
5 Au 0.0000 0.5000 0.5000  6 O 2.58
6 Au 0.5000 0.0000 0.5000  6 O 2.58
7 Au 0.5000 0.5000 0.0000  6 O 2.58
8 Au 0.5000 0.5000 0.5000  6 O 2.58
9 O 0.0688 0.0688 0.6812  2 Os 1.94
10 O 0.0688 0.6812 0.0688  2 Os 1.94
11 O 0.0688 0.6812 0.6812  2 Os 1.94
12 O 0.3188 0.3188 0.9312  2 Os 1.94
13 O 0.3188 0.9312 0.3188  2 Os 1.94
14 O 0.3188 0.9312 0.9312  2 Os 1.94
15 O 0.6812 0.0688 0.0688  2 Os 1.94
16 O 0.6812 0.0688 0.6812  2 Os 1.94
17 O 0.6812 0.6812 0.0688  2 Os 1.94
18 O 0.9312 0.3188 0.3188  2 Os 1.94
19 O 0.9312 0.3188 0.9312  2 Os 1.94
20 O 0.9312 0.9312 0.3188  2 Os 1.94

=====

[3]
The following is a DFT calculation (PBE-GGA) of crystalline HfZr2 at its relaxed geometry.

Values from the calculation:
SG = I4/mmm
E_form = 48 meV/atom

a = 3.2030 Å, b = 3.2030 Å, c = 13.4206 Å
α = 90.00°, β = 90.00°, γ = 90.00°
Last column: nearest neighbours and their distance in Å.
Positions (direct):
1 Hf 0.0000 0.0000 0.0000  8 Zr 3.16, 4 Hf 3.20
2 Hf 0.5000 0.5000 0.5000  8 Zr 3.16, 4 Hf 3.20
3 Zr 0.0000 0.0000 0.3358  4 Hf 3.16, 8 Zr 3.20-3.23
4 Zr 0.0000 0.0000 0.6642  4 Hf 3.16, 8 Zr 3.20-3.23
5 Zr 0.5000 0.5000 0.1642  4 Hf 3.16, 8 Zr 3.20-3.23
6 Zr 0.5000 0.5000 0.8358  4 Hf 3.16, 8 Zr 3.20-3.23

=====

[4]
The following is a DFT calculation (PBE-GGA) of crystalline MgIn2H6Ir at its relaxed geometry.

Values from the calculation:
SG = Fm-3m

a = 5.5602 Å, b = 5.5602 Å, c = 5.5602 Å
α = 60.00°, β = 60.00°, γ = 60.00°
Last column: nearest neighbours and their distance in Å.
Positions (direct):
1 Mg 0.0000 0.0000 0.0000  6 H 2.21
2 In 0.2500 0.2500 0.2500  12 H 2.79
3 In 0.7500 0.7500 0.7500  12 H 2.79
4 H 0.2809 0.2809 0.7191  1 Ir 1.72
5 H 0.2809 0.7191 0.2809  1 Ir 1.72
6 H 0.2809 0.7191 0.7191  1 Ir 1.72
7 H 0.7191 0.2809 0.2809  1 Ir 1.72
8 H 0.7191 0.2809 0.7191  1 Ir 1.72
9 H 0.7191 0.7191 0.2809  1 Ir 1.72
10 Ir 0.5000 0.5000 0.5000  6 H 1.72

=====

[5]
The following is a DFT calculation (PBE-GGA) of crystalline Ho2Tm2Si at its relaxed geometry.

Values from the calculation:
SG = Fddd

a = 10.8396 Å, b = 10.3460 Å, c = 5.8947 Å
α = 78.51°, β = 69.28°, γ = 32.20°
Last column: nearest neighbours and their distance in Å.
Positions (direct):
1 Ho 0.0863 0.0863 0.6637  2 Si 3.04, 2 Tm 3.33
2 Ho 0.3363 0.3363 0.9137  2 Si 3.04, 2 Tm 3.33
3 Ho 0.6637 0.6637 0.0863  2 Si 3.04, 2 Tm 3.33
4 Ho 0.9137 0.9137 0.3363  2 Si 3.04, 2 Tm 3.33
5 Tm 0.0000 0.5000 0.5000  2 Si 2.85, 2 Tm 2.95
6 Tm 0.5000 0.0000 0.5000  2 Si 2.85, 2 Tm 2.95
7 Tm 0.5000 0.5000 0.0000  2 Si 2.85, 2 Tm 2.95
8 Tm 0.5000 0.5000 0.5000  2 Si 2.85, 2 Tm 2.95
9 Si 0.3750 0.3750 0.3750  4 Tm 2.85, 4 Ho 3.04
10 Si 0.6250 0.6250 0.6250  4 Tm 2.85, 4 Ho 3.04

=====

[6]
The following is a DFT calculation (PBE-GGA) of crystalline NbFeBiW at its relaxed geometry.

Values from the calculation:
SG = F-43m

a = 6.4976 Å, b = 6.4976 Å, c = 6.4976 Å
α = 90.00°, β = 90.00°, γ = 90.00°
Last column: nearest neighbours and their distance in Å.
Positions (direct):
1 Nb 0.0000 0.0000 0.0000  4 Fe 2.81, 4 W 2.81
2 Nb 0.0000 0.5000 0.5000  4 W 2.81, 4 Fe 2.81
3 Nb 0.5000 0.0000 0.5000  4 W 2.81, 4 Fe 2.81
4 Nb 0.5000 0.5000 0.0000  4 W 2.81, 4 Fe 2.81
5 Fe 0.2500 0.2500 0.7500  4 Nb 2.81, 4 Bi 2.81
6 Fe 0.2500 0.7500 0.2500  4 Nb 2.81, 4 Bi 2.81
7 Fe 0.7500 0.2500 0.2500  4 Nb 2.81, 4 Bi 2.81
8 Fe 0.7500 0.7500 0.7500  4 Nb 2.81, 4 Bi 2.81
9 Bi 0.0000 0.0000 0.5000  4 W 2.81, 4 Fe 2.81
10 Bi 0.0000 0.5000 0.0000  4 W 2.81, 4 Fe 2.81
11 Bi 0.5000 0.0000 0.0000  4 W 2.81, 4 Fe 2.81
12 Bi 0.5000 0.5000 0.5000  4 W 2.81, 4 Fe 2.81
13 W 0.2500 0.2500 0.2500  4 Nb 2.81, 4 Bi 2.81
14 W 0.2500 0.7500 0.7500  4 Nb 2.81, 4 Bi 2.81
15 W 0.7500 0.2500 0.7500  4 Nb 2.81, 4 Bi 2.81
16 W 0.7500 0.7500 0.2500  4 Nb 2.81, 4 Bi 2.81

=====

no.,final energy (eV per cell)
1,-120.8
2,-125.9
3,-53.8
4,-34.7
5,-45.5
6,-131.0